Material: Rb4Ge3Br10
Method: DFT, GGA-PBE
State: optimized geometry

- density (Mg/m³) = 3.68
- M_tot (Bohr magnetons per cell) = 0.0

Cell lengths 20.144, 20.144, 20.144 Å; angles 164.10, 164.10, 22.55 degrees
Positions (direct):
1 Rb 0.067 0.067 0.000
2 Rb 0.199 0.199 0.000
3 Rb 0.801 0.801 0.000
4 Rb 0.933 0.933 0.000
5 Ge 0.356 0.356 0.000
6 Ge 0.500 0.500 0.000
7 Ge 0.644 0.644 0.000
8 Br 0.000 0.500 0.500
9 Br 0.141 0.641 0.500
10 Br 0.287 0.287 0.000
11 Br 0.359 0.859 0.500
12 Br 0.430 0.430 0.000
13 Br 0.500 0.000 0.500
14 Br 0.570 0.570 0.000
15 Br 0.641 0.141 0.500
16 Br 0.713 0.713 0.000
17 Br 0.859 0.359 0.500



Material: Cs2WS4
Method: DFT, GGA-PBE
State: optimized geometry

- density (Mg/m³) = 3.79
- N(E_F) (states/eV per atom) = 0.0000
- M_tot (Bohr magnetons per cell) = 0.0

Cell lengths 10.394, 7.384, 13.187 Å; angles 90.00, 90.00, 90.00 degrees
Positions (direct):
1 Cs 0.034 0.250 0.171
2 Cs 0.154 0.750 0.398
3 Cs 0.346 0.250 0.898
4 Cs 0.466 0.750 0.671
5 Cs 0.534 0.250 0.329
6 Cs 0.654 0.750 0.102
7 Cs 0.846 0.250 0.602
8 Cs 0.966 0.750 0.829
9 W 0.245 0.750 0.076
10 W 0.255 0.250 0.576
11 W 0.745 0.750 0.424
12 W 0.755 0.250 0.924
13 S 0.035 0.750 0.103
14 S 0.168 0.007 0.645
15 S 0.168 0.493 0.645
16 S 0.213 0.250 0.411
17 S 0.287 0.750 0.911
18 S 0.332 0.507 0.145
19 S 0.332 0.993 0.145
20 S 0.465 0.250 0.603
21 S 0.535 0.750 0.397
22 S 0.668 0.007 0.855
23 S 0.668 0.493 0.855
24 S 0.713 0.250 0.089
25 S 0.787 0.750 0.589
26 S 0.832 0.507 0.355
27 S 0.832 0.993 0.355
28 S 0.965 0.250 0.897



no.,V (Å³/f.u.),E (hartree per atom)
1,613.07,-0.1164
2,253.03,-0.2022